Pm5Sb5H2 | PBE | relaxed

E (eV per atom): -5.0047
N(E_F) (states/eV per cell): 4.298

Cell lengths 4.3020, 7.7825, 12.0698 Å; angles 119.73, 90.00, 106.04 degrees
Closest atoms and distances in Å follow each position.
Fractional positions:
Pm 0.0989 0.1977 0.4113  1 H 2.37
Pm 0.6792 0.3584 0.7797  2 H 2.54
Pm 0.3208 0.6416 0.2203  2 H 2.54
Pm 0.9011 0.8023 0.5887  1 H 2.37
Pm 0.0000 0.0000 0.0000  4 Sb 3.08
Sb 0.5000 0.0000 0.5000  6 Pm 3.04-3.10
Sb 0.6591 0.3182 0.0315  1 Sb 3.03, 5 Pm 3.08-3.20
Sb 0.6894 0.3787 0.2995  1 Sb 3.03, 5 Pm 3.19-3.37
Sb 0.3106 0.6213 0.7005  1 Sb 3.03, 5 Pm 3.19-3.37
Sb 0.3409 0.6818 0.9685  1 Sb 3.03, 5 Pm 3.08-3.20
H 0.0796 0.1592 0.7530  3 Pm 2.37-2.54
H 0.9204 0.8408 0.2470  3 Pm 2.37-2.54

=====

YIn2Co | PBE | relaxed

E (eV per atom): -4.8900
N(E_F) (states/eV per cell): 2.742
ΔE_f (eV/atom): -0.1283

Cell lengths 3.3032, 3.3032, 7.5539 Å; angles 90.00, 90.00, 90.00 degrees
Closest atoms and distances in Å follow each position.
Fractional positions:
Co 0.5000 0.5000 0.7500  8 In 2.77
In 0.0000 0.0000 0.9480  4 Co 2.77, 1 In 2.99
In 0.0000 0.0000 0.5520  4 Co 2.77, 1 In 2.99
Y 0.5000 0.5000 0.2500  8 In 3.27, 4 Y 3.30

=====

PuZr3Sc2 | PBE | relaxed

E (eV per atom): -8.7353
N(E_F) (states/eV per cell): 41.352
ΔE_f (eV/atom): 0.0379

Cell lengths 10.8258, 11.7549, 8.6132 Å; angles 98.80, 73.44, 146.63 degrees
Closest atoms and distances in Å follow each position.
Fractional positions:
Pu 0.2808 0.4479 0.6748  1 Pu 3.17, 6 Zr 3.17-3.23, 5 Sc 3.25-3.30
Pu 0.6011 0.7744 0.3518  6 Zr 3.13-3.27, 1 Pu 3.17, 5 Sc 3.25-3.30
Pu 0.0385 0.6990 0.1718  6 Zr 3.14-3.27, 1 Pu 3.16, 5 Sc 3.26-3.31
Pu 0.3535 0.0227 0.8497  6 Zr 3.14-3.24, 1 Pu 3.16, 5 Sc 3.24-3.31
Zr 0.4344 0.3513 0.8209  4 Sc 3.13-3.22, 2 Pu 3.20-3.23, 6 Zr 3.24-3.31
Zr 0.7724 0.6873 0.4865  3 Sc 3.13-3.22, 6 Zr 3.21-3.32, 3 Pu 3.22-3.27
Zr 0.1001 0.0175 0.1580  3 Sc 3.11-3.21, 3 Pu 3.19-3.27, 6 Zr 3.21-3.34
Zr 0.9319 0.8469 0.8160  1 Pu 3.16, 5 Sc 3.18-3.21, 6 Zr 3.20-3.34
Zr 0.2621 0.1800 0.4903  5 Sc 3.17-3.22, 1 Pu 3.17, 6 Zr 3.20-3.32
Zr 0.6032 0.5208 0.1556  4 Sc 3.18-3.20, 2 Pu 3.21-3.23, 6 Zr 3.25-3.29
Zr 0.0099 0.4259 0.9883  2 Pu 3.16-3.22, 4 Sc 3.17-3.23, 6 Zr 3.20-3.34
Zr 0.3458 0.7670 0.6595  3 Pu 3.14-3.21, 3 Sc 3.20-3.21, 6 Zr 3.24-3.32
Zr 0.6835 0.1001 0.3183  1 Pu 3.17, 5 Sc 3.17-3.22, 6 Zr 3.20-3.31
Zr 0.1781 0.5929 0.3204  2 Pu 3.13-3.20, 4 Sc 3.17-3.22, 6 Zr 3.23-3.32
Zr 0.5206 0.9364 0.9892  2 Pu 3.14-3.23, 4 Sc 3.16-3.24, 6 Zr 3.20-3.34
Zr 0.8471 0.2624 0.6527  2 Pu 3.18-3.24, 4 Sc 3.18-3.22, 6 Zr 3.23-3.30
Sc 0.1071 0.2716 0.3431  6 Zr 3.11-3.22, 3 Sc 3.23-3.24, 3 Pu 3.26-3.29
Sc 0.4419 0.6056 0.0113  6 Zr 3.13-3.24, 4 Sc 3.24-3.30, 2 Pu 3.27-3.30
Sc 0.7773 0.9430 0.6787  6 Zr 3.17-3.22, 3 Sc 3.24-3.27, 3 Pu 3.25-3.30
Sc 0.5295 0.1990 0.1809  6 Zr 3.17-3.21, 3 Sc 3.21-3.26, 3 Pu 3.27-3.28
Sc 0.8503 0.5191 0.8461  6 Zr 3.13-3.23, 3 Sc 3.21-3.28, 3 Pu 3.24-3.30
Sc 0.1905 0.8577 0.5100  6 Zr 3.13-3.22, 4 Sc 3.24-3.30, 2 Pu 3.26-3.31
Sc 0.9437 0.1102 0.0132  6 Zr 3.16-3.21, 4 Sc 3.23-3.30, 2 Pu 3.28-3.29
Sc 0.6968 0.3611 0.5128  6 Zr 3.17-3.22, 4 Sc 3.22-3.30, 2 Pu 3.28-3.31

=====

Cu3ReAs | PBE | relaxed

E (eV per atom): -4.3051
N(E_F) (states/eV per cell): 3.865
ΔE_f (eV/atom): 1.5721

Cell lengths 4.6413, 4.6413, 4.6413 Å; angles 90.00, 90.00, 90.00 degrees
Closest atoms and distances in Å follow each position.
Fractional positions:
Re 0.0000 0.0000 0.0000  6 Cu 2.32
As 0.5000 0.5000 0.5000  12 Cu 3.28
Cu 0.0000 0.5000 0.0000  2 Re 2.32
Cu 0.0000 0.0000 0.5000  2 Re 2.32
Cu 0.5000 0.0000 0.0000  2 Re 2.32

=====

Te2PdI | PBE | relaxed

Uncorrected formation energy (meV/atom): -149.1
E (eV per atom): -3.4057
N(E_F) (states/eV per cell): 7.227

Cell lengths 19.6004, 4.7738, 8.0555 Å; angles 90.00, 135.41, 90.00 degrees
Closest atoms and distances in Å follow each position.
Fractional positions:
I 0.2444 0.2236 0.0477  2 Pd 2.71-2.73
I 0.7556 0.7764 0.9523  2 Pd 2.71-2.73
I 0.2556 0.7236 0.4523  2 Pd 2.71-2.73
I 0.7444 0.2764 0.5477  2 Pd 2.71-2.73
Te 0.9559 0.7890 0.8080  2 Pd 2.64-2.93
Te 0.0441 0.2110 0.1920  2 Pd 2.64-2.93
Te 0.5441 0.2890 0.6920  2 Pd 2.64-2.93
Te 0.4559 0.7110 0.3080  2 Pd 2.64-2.93
Te 0.0275 0.7220 0.4093  1 Pd 2.62
Te 0.9725 0.2780 0.5907  1 Pd 2.62
Te 0.4725 0.2220 0.0907  1 Pd 2.62
Te 0.5275 0.7780 0.9093  1 Pd 2.62
Pd 0.6133 0.0039 0.5124  3 Te 2.62-2.93, 2 I 2.71-2.73
Pd 0.3867 0.9961 0.4876  3 Te 2.62-2.93, 2 I 2.71-2.73
Pd 0.8867 0.5039 0.9876  3 Te 2.62-2.93, 2 I 2.71-2.73
Pd 0.1133 0.4961 0.0124  3 Te 2.62-2.93, 2 I 2.71-2.73

=====

Cs2Rb5Na5 | PBE | relaxed

E (eV per atom): -1.0491
N(E_F) (states/eV per cell): 8.764
ΔE_f (eV/atom): 0.0460

Cell lengths 4.8947, 11.5305, 16.1583 Å; angles 69.97, 81.29, 77.75 degrees
Closest atoms and distances in Å follow each position.
Fractional positions:
Cs 0.8885 0.4501 0.7729  2 Na 4.50, 7 Rb 4.67-4.98, 2 Cs 4.89
Cs 0.1115 0.5499 0.2271  2 Na 4.50, 7 Rb 4.67-4.98, 2 Cs 4.89
Rb 0.5000 0.5000 0.5000  6 Na 4.78-5.19, 4 Cs 4.87, 4 Rb 4.89-4.90
Rb 0.3308 0.2809 0.0576  4 Na 4.33-4.62, 1 Rb 4.44, 1 Cs 4.67
Rb 0.4098 0.9111 0.2694  6 Na 4.29-4.77, 1 Rb 4.44
Rb 0.5902 0.0889 0.7306  6 Na 4.29-4.77, 1 Rb 4.44
Rb 0.6692 0.7191 0.9424  4 Na 4.33-4.62, 1 Rb 4.44, 1 Cs 4.67
Na 0.8158 0.8609 0.5075  5 Na 3.64-4.03
Na 0.2558 0.8037 0.6847  3 Na 3.64-4.03
Na 0.7442 0.1963 0.3153  3 Na 3.64-4.03
Na 0.1842 0.1391 0.4925  5 Na 3.64-4.03
Na 0.0000 0.0000 0.0000  8 Rb 4.33-4.77

=====

KTl2In | PBE | relaxed

E (eV per atom): -2.2025
N(E_F) (states/eV per cell): 1.656
ΔE_f (eV/atom): -0.0603

Cell lengths 3.9847, 4.0182, 8.3726 Å; angles 90.00, 90.00, 90.00 degrees
Closest atoms and distances in Å follow each position.
Fractional positions:
Tl 0.0000 0.0000 0.0432  4 Tl 3.36, 1 In 3.41
Tl 0.5000 0.5000 0.2592  4 In 3.25, 4 Tl 3.36
K 0.5000 0.5000 0.7468  4 In 3.76, 5 Tl 3.76-4.08, 4 K 3.98-4.02
In 0.0000 0.0000 0.4508  5 Tl 3.25-3.41

=====

Fe2SbRu | PBE | relaxed

Uncorrected formation energy (meV/atom): 153.4
E (eV per atom): -7.4275
N(E_F) (states/eV per cell): 2.024

Cell lengths 3.1485, 3.1485, 5.8524 Å; angles 90.00, 90.00, 90.00 degrees
Closest atoms and distances in Å follow each position.
Fractional positions:
Fe 0.0000 0.0000 0.0184  4 Fe 2.55, 4 Sb 2.70, 1 Ru 2.79
Fe 0.5000 0.5000 0.2303  4 Fe 2.55, 4 Ru 2.71, 1 Sb 2.77
Ru 0.0000 0.0000 0.4945  4 Sb 2.70, 5 Fe 2.71-2.79
Sb 0.5000 0.5000 0.7568  5 Fe 2.70-2.77, 4 Ru 2.70

=====

Th4Zn2N | PBE | relaxed

Uncorrected formation energy (meV/atom): -257.0
E (eV per atom): -6.0503
N(E_F) (states/eV per cell): 6.902

Cell lengths 4.7652, 4.7652, 8.6930 Å; angles 74.09, 74.09, 90.00 degrees
Closest atoms and distances in Å follow each position.
Fractional positions:
Zn 0.1371 0.1371 0.7258  1 N 2.20
Zn 0.8629 0.8629 0.2742  1 N 2.20
Th 0.6815 0.6815 0.6371  1 Zn 2.91
Th 0.3185 0.3185 0.3629  1 Zn 2.91
Th 0.0000 0.5000 0.0000  2 N 2.38
Th 0.5000 0.0000 0.0000  2 N 2.38
N 0.0000 0.0000 0.0000  2 Zn 2.20, 4 Th 2.38

=====

Pm3Cd4Au4 | PBE | relaxed

E (eV per atom): -3.3683
N(E_F) (states/eV per cell): 7.260
ΔE_f (eV/atom): -0.5482

Cell lengths 4.0556, 8.1127, 9.2514 Å; angles 116.01, 102.66, 90.00 degrees
Closest atoms and distances in Å follow each position.
Fractional positions:
Pm 0.1152 0.1152 0.2304  6 Au 3.06-3.17, 4 Cd 3.34
Pm 0.8848 0.8848 0.7696  6 Au 3.06-3.17, 4 Cd 3.34
Pm 0.0000 0.5000 0.0000  4 Au 3.20
Cd 0.3336 0.1445 0.6672  4 Au 2.82-2.92, 1 Cd 3.07
Cd 0.6664 0.4773 0.3328  4 Au 2.82-2.92, 1 Cd 3.07
Cd 0.6664 0.8555 0.3328  4 Au 2.82-2.92, 1 Cd 3.07
Cd 0.3336 0.5227 0.6672  4 Au 2.82-2.92, 1 Cd 3.07
Au 0.2424 0.7424 0.4849  6 Cd 2.82-2.92, 2 Pm 3.06
Au 0.7576 0.2576 0.5151  6 Cd 2.82-2.92, 2 Pm 3.06
Au 0.5000 0.8059 0.0000  2 Cd 2.85, 1 Au 3.15, 4 Pm 3.17
Au 0.5000 0.1941 0.0000  2 Cd 2.85, 1 Au 3.15, 4 Pm 3.17

=====

AlPPd2 | PBE | relaxed

E (eV per atom): -5.2805
N(E_F) (states/eV per cell): 0.757
ΔE_f (eV/atom): -0.3959

Cell lengths 3.9784, 3.9784, 8.6076 Å; angles 76.64, 76.64, 90.00 degrees
Closest atoms and distances in Å follow each position.
Fractional positions:
P 0.0000 0.0000 0.0000  4 Pd 2.45
P 0.7500 0.2500 0.5000  4 Pd 2.45
Al 0.5000 0.5000 0.0000  4 Pd 2.50
Al 0.2500 0.7500 0.5000  4 Pd 2.50
Pd 0.6407 0.1250 0.2500  2 P 2.45, 2 Al 2.50, 2 Pd 2.73
Pd 0.1093 0.6250 0.2500  2 P 2.45, 2 Al 2.50, 2 Pd 2.73
Pd 0.3750 0.3593 0.7500  2 P 2.45, 2 Al 2.50, 2 Pd 2.73
Pd 0.8750 0.8907 0.7500  2 P 2.45, 2 Al 2.50, 2 Pd 2.73

=====

BaScAg2Se4 | PBE | relaxed

Uncorrected formation energy (meV/atom): -1011.9
E (eV per atom): -4.4988
N(E_F) (states/eV per cell): 2.596

Cell lengths 6.9964, 6.6473, 6.6473 Å; angles 68.33, 58.25, 58.25 degrees
Closest atoms and distances in Å follow each position.
Fractional positions:
Ba 0.0000 0.0000 0.0000  8 Se 3.37-3.45
Sc 0.5000 0.5000 0.5000  4 Se 2.59
Ag 0.1819 0.3181 0.3181  4 Se 2.59-2.87
Ag 0.8181 0.6819 0.6819  4 Se 2.59-2.87
Se 0.4741 0.1149 0.5296  2 Ag 2.59-2.87, 1 Sc 2.59
Se 0.1185 0.8851 0.4704  2 Ag 2.59-2.87, 1 Sc 2.59
Se 0.8815 0.5296 0.1149  2 Ag 2.59-2.87, 1 Sc 2.59
Se 0.5260 0.4704 0.8851  2 Ag 2.59-2.87, 1 Sc 2.59